Entry 1:
Entry from the Alexandria database: an optimized crystal structure of TlSnSe (PBE).

```
TlSnSe
1.0
4.071 0.000 0.000
0.000 5.016 0.000
0.000 -2.508 4.344
Sn Se Tl
1 1 1
Direct
0.135 0.000 0.000
0.203 0.333 0.667
0.662 0.667 0.333
```

The space group is P3m1 (156).

***

Entry 2:
Entry from the Alexandria database: an optimized crystal structure of TlSnSe3 (PBE).

```
TlSnSe3
1.0
7.100 0.000 0.000
3.550 6.148 0.000
3.550 2.049 6.924
Tl Se Sn
2 6 2
Direct
0.866 0.866 0.401
0.134 0.134 0.599
0.080 0.680 0.749
0.920 0.508 0.251
0.320 0.920 0.251
0.492 0.080 0.749
0.508 0.320 0.251
0.680 0.492 0.749
0.334 0.334 0.999
0.666 0.666 0.001
```

The space group is R32 (155).

***

Entry 3:
Entry from the Alexandria database: an optimized crystal structure of TlSn2Se4 (PBE).

```
TlSn2Se4
1.0
-3.649 0.378 1.794
1.700 -6.979 0.282
6.163 1.990 12.116
Tl Se Sn
2 8 4
Direct
0.407 0.815 0.250
0.593 0.185 0.750
0.766 0.532 0.116
0.234 0.468 0.616
0.068 0.136 0.250
0.932 0.864 0.750
0.500 0.000 0.500
0.234 0.468 0.884
0.766 0.532 0.384
0.500 0.000 0.000
0.861 0.722 0.937
0.139 0.278 0.437
0.861 0.722 0.563
0.139 0.278 0.063
```

The space group is Cmcm (63).

***

Computed values of total magnetization (unit: μB/f.u.) for the preceding records, in sequence: 0.0; 0.0; 0.0.
Computed values of energy relative to the elements, uncorrected (unit: eV/atom) for the preceding records, in sequence: -0.1294; -0.1243; -0.3354.